Here is a PBEsol-optimized structure of Ta2SbMo from Alexandria. Energies are from meta-GGA SCAN.

a b c (Å): 3.597 4.381 4.439
angles (deg): 90.00 90.00 90.00
Fractional coordinates of all 4 atoms:
Ta  0.000  0.000  0.000
Ta  0.500  0.500  0.000
Sb  0.000  0.500  0.500
Mo  0.500  0.000  0.500

Results
Formation energy from raw total energies = 0.13 eV/f.u.
Theoretical density = 13.757 g/cm3
SG = Pmmm, No. 47

***

Here is a PBEsol-optimized structure of BaTc3Hg from Alexandria. Energies are from meta-GGA SCAN.

a b c (Å): 5.098 5.098 5.098
angles (deg): 90.00 90.00 90.00
Fractional coordinates of all 5 atoms:
Ba  0.000  0.000  0.000
Tc  0.000  0.500  0.500
Tc  0.500  0.000  0.500
Tc  0.500  0.500  0.000
Hg  0.500  0.500  0.500

Results
Theoretical density = 7.921 g/cm3
SG = Pm-3m, No. 221
E_form = 1.82 eV/atom

***

Here is a PBEsol-optimized structure of NaPb2IO6 from Alexandria. Energies are from meta-GGA SCAN.

a b c (Å): 5.761 5.761 5.761
angles (deg): 60.00 60.00 60.00
Fractional coordinates of all 10 atoms:
Na  0.000  0.000  0.000
Pb  0.250  0.250  0.250
Pb  0.750  0.750  0.750
I  0.500  0.500  0.500
O  0.269  0.269  0.731
O  0.269  0.731  0.269
O  0.269  0.731  0.731
O  0.731  0.269  0.269
O  0.731  0.269  0.731
O  0.731  0.731  0.269

Results
Formation energy from raw total energies = -10.25 eV/f.u.
Theoretical density = 8.108 g/cm3
SG = Fm-3m, No. 225

***

Here is a PBEsol-optimized structure of Cu2As from Alexandria. Energies are from meta-GGA SCAN.

a b c (Å): 3.626 11.826 3.721
angles (deg): 90.00 90.00 90.00
Fractional coordinates of all 12 atoms:
Cu  0.000  0.085  0.250
Cu  0.000  0.255  0.750
Cu  0.000  0.745  0.250
Cu  0.000  0.915  0.750
Cu  0.500  0.245  0.250
Cu  0.500  0.415  0.750
Cu  0.500  0.585  0.250
Cu  0.500  0.755  0.750
As  0.000  0.399  0.250
As  0.000  0.601  0.750
As  0.500  0.101  0.750
As  0.500  0.899  0.250

Results
Theoretical density = 8.409 g/cm3
SG = Cmcm, No. 63
E_form = 0.07 eV/atom

***

Here is a PBEsol-optimized structure of Hg2Sb from Alexandria. Energies are from meta-GGA SCAN.

a b c (Å): 12.140 3.929 8.160
angles (deg): 90.00 127.29 90.00
Fractional coordinates of all 12 atoms:
Hg  0.046  0.000  0.230
Hg  0.142  0.500  0.563
Hg  0.358  0.000  0.437
Hg  0.454  0.500  0.770
Hg  0.546  0.500  0.230
Hg  0.642  0.000  0.563
Hg  0.858  0.500  0.437
Hg  0.954  0.000  0.770
Sb  0.198  0.500  0.071
Sb  0.302  0.000  0.929
Sb  0.698  0.000  0.071
Sb  0.802  0.500  0.929

Results
Formation energy from raw total energies = 0.27 eV/f.u.
Theoretical density = 11.217 g/cm3
SG = C2/m, No. 12
Energy above the lowest structure with this stoichiometry = 48 meV/atom

***

Here is a PBEsol-optimized structure of DyAsPd from Alexandria. Energies are from meta-GGA SCAN.

a b c (Å): 6.937 4.090 7.823
angles (deg): 90.00 90.00 90.00
Fractional coordinates of all 12 atoms:
Dy  0.028  0.250  0.191
Dy  0.472  0.750  0.691
Dy  0.528  0.250  0.309
Dy  0.972  0.750  0.809
As  0.248  0.750  0.380
As  0.252  0.250  0.880
As  0.748  0.750  0.120
As  0.752  0.250  0.620
Pd  0.142  0.250  0.562
Pd  0.358  0.750  0.062
Pd  0.642  0.250  0.938
Pd  0.858  0.750  0.438

Results
Theoretical density = 10.290 g/cm3
SG = Pnma, No. 62
E_form = -1.32 eV/atom

***

Here is a PBEsol-optimized structure of GaFe2CoC from Alexandria. Energies are from meta-GGA SCAN.

a b c (Å): 3.635 3.635 4.086
angles (deg): 90.00 90.00 90.00
Fractional coordinates of all 5 atoms:
Ga  0.000  0.000  0.000
Fe  0.000  0.500  0.500
Fe  0.500  0.000  0.500
Co  0.500  0.500  0.000
C  0.000  0.000  0.500

Results
Theoretical density = 7.761 g/cm3
SG = P4/mmm, No. 123
E_form = 0.41 eV/atom

***

Here is a PBEsol-optimized structure of SiPt2Au from Alexandria. Energies are from meta-GGA SCAN.

a b c (Å): 3.347 3.669 5.328
angles (deg): 90.00 107.36 90.00
Fractional coordinates of all 4 atoms:
Si  0.000  0.000  0.000
Pt  0.373  0.500  0.228
Pt  0.627  0.500  0.772
Au  0.000  0.000  0.500

Results
Formation energy from raw total energies = -1.35 eV/f.u.
Theoretical density = 16.360 g/cm3
SG = P2/m, No. 10

***

Here is a PBEsol-optimized structure of YCrNi from Alexandria. Energies are from meta-GGA SCAN.

a b c (Å): 3.194 3.194 9.972
angles (deg): 90.00 90.00 90.00
Fractional coordinates of all 6 atoms:
Y  0.000  0.000  0.000
Y  0.500  0.500  0.500
Cr  0.000  0.000  0.711
Cr  0.500  0.500  0.211
Ni  0.000  0.000  0.301
Ni  0.500  0.500  0.801

Results
Theoretical density = 6.515 g/cm3
SG = I4mm, No. 107
E_form = 0.11 eV/atom

***

Here is a PBEsol-optimized structure of CsTeH from Alexandria. Energies are from meta-GGA SCAN.

a b c (Å): 6.265 5.993 10.596
angles (deg): 90.00 90.00 90.00
Fractional coordinates of all 12 atoms:
Cs  0.000  0.000  0.000
Cs  0.000  0.500  0.500
Cs  0.500  0.000  0.338
Cs  0.500  0.500  0.838
Te  0.225  0.000  0.668
Te  0.225  0.500  0.168
Te  0.775  0.000  0.668
Te  0.775  0.500  0.168
H  0.500  0.065  0.044
H  0.500  0.435  0.544
H  0.500  0.565  0.544
H  0.500  0.935  0.044

Results
Theoretical density = 4.366 g/cm3
SG = Amm2, No. 38
DFT total energy = -26.8633 eV per atom

***

Here is a PBEsol-optimized structure of LaFe3Se from Alexandria. Energies are from meta-GGA SCAN.

a b c (Å): 4.548 4.548 4.548
angles (deg): 90.00 90.00 90.00
Fractional coordinates of all 5 atoms:
La  0.000  0.000  0.000
Fe  0.000  0.000  0.500
Fe  0.000  0.500  0.000
Fe  0.500  0.000  0.000
Se  0.500  0.500  0.500

Results
Formation energy from raw total energies = 8.61 eV/f.u.
Theoretical density = 6.803 g/cm3
SG = Pm-3m, No. 221
Energy above the lowest structure with this stoichiometry = 1420 meV/atom

***

Here is a PBEsol-optimized structure of Co4Te from Alexandria. Energies are from meta-GGA SCAN.

a b c (Å): 5.439 5.439 5.439
angles (deg): 90.00 90.00 90.00
Fractional coordinates of all 10 atoms:
Co  0.250  0.250  0.250
Co  0.250  0.250  0.750
Co  0.250  0.750  0.250
Co  0.250  0.750  0.750
Co  0.750  0.250  0.250
Co  0.750  0.250  0.750
Co  0.750  0.750  0.250
Co  0.750  0.750  0.750
Te  0.000  0.000  0.000
Te  0.500  0.500  0.500

Results
Formation energy from raw total energies = 4.98 eV/f.u.
Theoretical density = 7.499 g/cm3
SG = Im-3m, No. 229

***

Here is a PBEsol-optimized structure of TeIrN2 from Alexandria. Energies are from meta-GGA SCAN.

a b c (Å): 3.191 3.191 18.853
angles (deg): 90.00 90.00 120.00
Fractional coordinates of all 12 atoms:
Te  0.000  0.000  0.000
Te  0.333  0.667  0.667
Te  0.667  0.333  0.333
Ir  0.000  0.000  0.500
Ir  0.333  0.667  0.167
Ir  0.667  0.333  0.833
N  0.000  0.000  0.118
N  0.000  0.000  0.882
N  0.333  0.667  0.549
N  0.333  0.667  0.784
N  0.667  0.333  0.216
N  0.667  0.333  0.451

Results
Formation energy from raw total energies = 2.71 eV/f.u.
Theoretical density = 10.422 g/cm3
SG = R-3m, No. 166

***

Here is a PBEsol-optimized structure of CoReBr2 from Alexandria. Energies are from meta-GGA SCAN.

a b c (Å): 3.059 3.210 7.758
angles (deg): 90.00 101.25 90.00
Fractional coordinates of all 4 atoms:
Co  0.000  0.000  0.000
Re  0.576  0.500  0.153
Br  0.408  0.500  0.814
Br  0.701  0.000  0.406

Results
Formation energy from raw total energies = 1.81 eV/f.u.
Theoretical density = 9.002 g/cm3
SG = Pm, No. 6
Energy above the lowest structure with this stoichiometry = 0 meV/atom

***

Here is a PBEsol-optimized structure of ZrH3NF4 from Alexandria. Energies are from meta-GGA SCAN.

a b c (Å): 6.059 8.052 8.427
angles (deg): 106.51 104.22 107.38
Fractional coordinates of all 36 atoms:
Zr  0.223  0.292  0.369
Zr  0.242  0.786  0.338
Zr  0.758  0.214  0.662
Zr  0.777  0.708  0.631
H  0.187  0.291  0.956
H  0.195  0.986  0.931
H  0.211  0.495  0.940
H  0.233  0.788  0.900
H  0.283  0.344  0.801
H  0.304  0.907  0.774
H  0.696  0.093  0.226
H  0.717  0.656  0.199
H  0.767  0.212  0.100
H  0.789  0.505  0.060
H  0.805  0.014  0.069
H  0.813  0.709  0.044
N  0.162  0.355  0.866
N  0.179  0.867  0.833
N  0.821  0.133  0.167
N  0.838  0.645  0.134
F  0.009  0.718  0.481
F  0.110  0.997  0.330
F  0.137  0.489  0.273
F  0.258  0.191  0.136
F  0.287  0.731  0.106
F  0.395  0.567  0.588
F  0.430  0.266  0.600
F  0.446  0.957  0.614
F  0.554  0.043  0.386
F  0.570  0.734  0.400
F  0.605  0.433  0.412
F  0.713  0.269  0.894
F  0.742  0.809  0.864
F  0.863  0.511  0.727
F  0.890  0.003  0.670
F  0.991  0.282  0.519

Results
Theoretical density = 3.488 g/cm3
SG = P-1, No. 2
DFT total energy = -9.6046 eV per atom

***

Here is a PBEsol-optimized structure of Zn3BiF from Alexandria. Energies are from meta-GGA SCAN.

a b c (Å): 4.504 4.504 4.504
angles (deg): 90.00 90.00 90.00
Fractional coordinates of all 5 atoms:
Zn  0.000  0.000  0.500
Zn  0.000  0.500  0.000
Zn  0.500  0.000  0.000
Bi  0.500  0.500  0.500
F  0.000  0.000  0.000

Results
Formation energy from raw total energies = -0.86 eV/f.u.
Theoretical density = 7.710 g/cm3
SG = Pm-3m, No. 221

***

Here is a PBEsol-optimized structure of La2FeAg from Alexandria. Energies are from meta-GGA SCAN.

a b c (Å): 4.874 4.889 7.694
angles (deg): 90.00 90.00 90.00
Fractional coordinates of all 8 atoms:
La  0.000  0.000  0.217
La  0.000  0.000  0.783
La  0.500  0.500  0.217
La  0.500  0.500  0.783
Fe  0.000  0.500  0.000
Fe  0.500  0.000  0.000
Ag  0.000  0.500  0.500
Ag  0.500  0.000  0.500

Results
Theoretical density = 7.999 g/cm3
SG = Cmmm, No. 65
E_form = 0.03 eV/atom

***

Here is a PBEsol-optimized structure of YTaIr from Alexandria. Energies are from meta-GGA SCAN.

a b c (Å): 5.506 5.696 7.356
angles (deg): 90.00 90.00 90.00
Fractional coordinates of all 12 atoms:
Y  0.000  0.250  0.133
Y  0.000  0.750  0.867
Y  0.500  0.250  0.367
Y  0.500  0.750  0.633
Ta  0.250  0.250  0.750
Ta  0.250  0.750  0.250
Ta  0.750  0.250  0.750
Ta  0.750  0.750  0.250
Ir  0.000  0.000  0.500
Ir  0.000  0.500  0.500
Ir  0.500  0.000  0.000
Ir  0.500  0.500  0.000

Results
Theoretical density = 13.304 g/cm3
SG = Imma, No. 74
E_form = -0.75 eV/atom

***

Here is a PBEsol-optimized structure of Sr2SnSe5 from Alexandria. Energies are from meta-GGA SCAN.

a b c (Å): 12.050 16.372 8.532
angles (deg): 90.00 90.00 90.00
Fractional coordinates of all 64 atoms:
Sr  0.116  0.178  0.243
Sr  0.118  0.179  0.741
Sr  0.247  0.430  0.259
Sr  0.248  0.430  0.762
Sr  0.252  0.930  0.238
Sr  0.253  0.930  0.741
Sr  0.382  0.679  0.259
Sr  0.384  0.678  0.757
Sr  0.616  0.322  0.757
Sr  0.618  0.321  0.259
Sr  0.747  0.070  0.741
Sr  0.748  0.070  0.238
Sr  0.752  0.570  0.762
Sr  0.753  0.570  0.259
Sr  0.882  0.821  0.741
Sr  0.884  0.822  0.243
Sn  0.053  0.606  0.997
Sn  0.089  0.673  0.516
Sn  0.411  0.173  0.484
Sn  0.447  0.106  0.003
Sn  0.553  0.894  0.003
Sn  0.589  0.827  0.484
Sn  0.911  0.327  0.516
Sn  0.947  0.394  0.997
Se  0.000  0.000  0.159
Se  0.000  0.000  0.663
Se  0.000  0.500  0.227
Se  0.000  0.500  0.772
Se  0.058  0.889  0.985
Se  0.062  0.890  0.484
Se  0.123  0.325  0.506
Se  0.127  0.739  0.787
Se  0.130  0.751  0.265
Se  0.134  0.318  0.005
Se  0.240  0.072  0.985
Se  0.248  0.570  0.514
Se  0.252  0.070  0.486
Se  0.260  0.572  0.015
Se  0.366  0.818  0.995
Se  0.370  0.251  0.735
Se  0.373  0.239  0.213
Se  0.377  0.825  0.494
Se  0.438  0.390  0.516
Se  0.442  0.389  0.015
Se  0.500  0.000  0.228
Se  0.500  0.000  0.773
Se  0.500  0.500  0.337
Se  0.500  0.500  0.841
Se  0.558  0.611  0.015
Se  0.562  0.610  0.516
Se  0.623  0.175  0.494
Se  0.627  0.761  0.213
Se  0.630  0.749  0.735
Se  0.634  0.182  0.995
Se  0.740  0.428  0.015
Se  0.748  0.930  0.486
Se  0.752  0.430  0.514
Se  0.760  0.928  0.985
Se  0.866  0.682  0.005
Se  0.870  0.249  0.265
Se  0.873  0.261  0.787
Se  0.877  0.675  0.506
Se  0.938  0.110  0.484
Se  0.942  0.111  0.985

Results
Formation energy from raw total energies = -10.62 eV/f.u.
Theoretical density = 5.436 g/cm3
SG = P2_12_12, No. 18

***

Here is a PBEsol-optimized structure of MgIrRh2 from Alexandria. Energies are from meta-GGA SCAN.

a b c (Å): 2.737 2.737 26.341
angles (deg): 90.00 90.00 120.00
Fractional coordinates of all 12 atoms:
Mg  0.000  0.000  0.000
Mg  0.333  0.667  0.667
Mg  0.667  0.333  0.333
Ir  0.000  0.000  0.500
Ir  0.333  0.667  0.167
Ir  0.667  0.333  0.833
Rh  0.000  0.000  0.249
Rh  0.000  0.000  0.751
Rh  0.333  0.667  0.418
Rh  0.333  0.667  0.915
Rh  0.667  0.333  0.085
Rh  0.667  0.333  0.582

Results
Theoretical density = 12.314 g/cm3
SG = R-3m, No. 166
E_form = -0.13 eV/atom

***

Here is a PBEsol-optimized structure of InGaPb2 from Alexandria. Energies are from meta-GGA SCAN.

a b c (Å): 7.450 7.450 7.450
angles (deg): 90.00 90.00 90.00
Fractional coordinates of all 16 atoms:
In  0.000  0.000  0.000
In  0.000  0.500  0.500
In  0.500  0.000  0.500
In  0.500  0.500  0.000
Ga  0.000  0.000  0.500
Ga  0.000  0.500  0.000
Ga  0.500  0.000  0.000
Ga  0.500  0.500  0.500
Pb  0.250  0.250  0.250
Pb  0.250  0.250  0.750
Pb  0.250  0.750  0.250
Pb  0.250  0.750  0.750
Pb  0.750  0.250  0.250
Pb  0.750  0.250  0.750
Pb  0.750  0.750  0.250
Pb  0.750  0.750  0.750

Results
Theoretical density = 9.621 g/cm3
SG = Fm-3m, No. 225
E_form = 0.13 eV/atom

***

Here is a PBEsol-optimized structure of Zr3AgN from Alexandria. Energies are from meta-GGA SCAN.

a b c (Å): 4.428 4.428 4.428
angles (deg): 90.00 90.00 90.00
Fractional coordinates of all 5 atoms:
Zr  0.000  0.000  0.500
Zr  0.000  0.500  0.000
Zr  0.500  0.000  0.000
Ag  0.500  0.500  0.500
N  0.000  0.000  0.000

Results
Formation energy from raw total energies = -4.47 eV/f.u.
Theoretical density = 7.567 g/cm3
SG = Pm-3m, No. 221

***

Here is a PBEsol-optimized structure of CoGeH2Rh from Alexandria. Energies are from meta-GGA SCAN.

a b c (Å): 3.377 3.377 4.893
angles (deg): 90.00 90.00 90.00
Fractional coordinates of all 5 atoms:
Co  0.000  0.000  0.000
Ge  0.000  0.000  0.500
H  0.000  0.500  0.500
H  0.500  0.000  0.500
Rh  0.500  0.500  0.000

Results
Theoretical density = 7.038 g/cm3
SG = P4/mmm, No. 123
DFT total energy = -14.6781 eV per atom